Record 1
# BaNiCl (GGA-PBE, optimized geometry)
# E_form (uncorrected), eV/atom: -0.50
# Polymorph energy (0 for the lowest one), eV per atom: 0.0000
data_BaNiCl
_chemical_formula_sum 'Ba2 Ni2 Cl2'
_cell_length_a 4.406
_cell_length_b 4.417
_cell_length_c 9.052
_cell_angle_alpha 90.00
_cell_angle_beta 90.00
_cell_angle_gamma 90.00
_symmetry_space_group_name_H-M 'I m m 2'
_symmetry_Int_Tables_number 44
_symmetry_space_group_name_Hall 'I 2 -2'
loop_
_atom_site_label
_atom_site_type_symbol
_atom_site_fract_x
_atom_site_fract_y
_atom_site_fract_z
Ba1 Ba 0.000 0.000 0.000
Ni1 Ni 0.000 0.000 0.599
Cl1 Cl 0.000 0.000 0.357


Record 2
# Ba2NiCl (GGA-PBE, optimized geometry)
# E_form (uncorrected), eV/atom: -0.76
# Polymorph energy (0 for the lowest one), eV per atom: 0.0959
data_Ba2NiCl
_chemical_formula_sum 'Ba2 Ni1 Cl1'
_cell_length_a 3.813
_cell_length_b 3.813
_cell_length_c 8.309
_cell_angle_alpha 90.00
_cell_angle_beta 90.00
_cell_angle_gamma 90.00
_symmetry_space_group_name_H-M 'P 4/m m m'
_symmetry_Int_Tables_number 123
_symmetry_space_group_name_Hall '-P 4 2'
loop_
_atom_site_label
_atom_site_type_symbol
_atom_site_fract_x
_atom_site_fract_y
_atom_site_fract_z
Ba1 Ba 0.000 0.000 0.224
Ni1 Ni 0.500 0.500 0.000
Cl1 Cl 0.500 0.500 0.500


Record 3
# Ba2NiCl (GGA-PBE, optimized geometry)
# E_form (uncorrected), eV/atom: -0.74
# Polymorph energy (0 for the lowest one), eV per atom: 0.1227
data_Ba2NiCl
_chemical_formula_sum 'Ba4 Ni2 Cl2'
_cell_length_a 4.013
_cell_length_b 4.116
_cell_length_c 16.422
_cell_angle_alpha 90.00
_cell_angle_beta 90.00
_cell_angle_gamma 90.00
_symmetry_space_group_name_H-M 'I m m 2'
_symmetry_Int_Tables_number 44
_symmetry_space_group_name_Hall 'I 2 -2'
loop_
_atom_site_label
_atom_site_type_symbol
_atom_site_fract_x
_atom_site_fract_y
_atom_site_fract_z
Ba1 Ba 0.000 0.000 0.000
Ba2 Ba 0.000 0.500 0.226
Ni1 Ni 0.000 0.000 0.588
Cl1 Cl 0.000 0.500 0.830


Record 4
# Ba2NiCl (GGA-PBE, optimized geometry)
# E_form (uncorrected), eV/atom: -0.86
# Polymorph energy (0 for the lowest one), eV per atom: 0.0000
data_Ba2NiCl
_chemical_formula_sum 'Ba6 Ni3 Cl3'
_cell_length_a 4.4239
_cell_length_b 4.4239
_cell_length_c 24.3108
_cell_angle_alpha 90.00
_cell_angle_beta 90.00
_cell_angle_gamma 120.00
_symmetry_space_group_name_H-M 'R -3 m'
_symmetry_Int_Tables_number 166
_symmetry_space_group_name_Hall '-R 3 2"'
loop_
_atom_site_label
_atom_site_type_symbol
_atom_site_fract_x
_atom_site_fract_y
_atom_site_fract_z
Ba1 Ba 0.0000 0.0000 0.2405
Ni1 Ni 0.0000 0.0000 0.5000
Cl1 Cl 0.0000 0.0000 0.0000


Record 5
# BaNi3Cl (GGA-PBE, optimized geometry)
# E_form (uncorrected), eV/atom: 0.41
# Polymorph energy (0 for the lowest one), eV per atom: 0.0000
data_BaNi3Cl
_chemical_formula_sum 'Ba1 Ni3 Cl1'
_cell_length_a 4.521
_cell_length_b 4.521
_cell_length_c 4.521
_cell_angle_alpha 90.00
_cell_angle_beta 90.00
_cell_angle_gamma 90.00
_symmetry_space_group_name_H-M 'P m -3 m'
_symmetry_Int_Tables_number 221
_symmetry_space_group_name_Hall '-P 4 2 3'
loop_
_atom_site_label
_atom_site_type_symbol
_atom_site_fract_x
_atom_site_fract_y
_atom_site_fract_z
Ba1 Ba 0.000 0.000 0.000
Ni1 Ni 0.000 0.500 0.500
Cl1 Cl 0.500 0.500 0.500


Record 6
# BaNiCl (GGA-PBE, optimized geometry)
# E_form (uncorrected), eV/atom: -0.39
# Polymorph energy (0 for the lowest one), eV per atom: 0.1129
data_BaNiCl
_chemical_formula_sum 'Ba4 Ni4 Cl4'
_cell_length_a 7.546
_cell_length_b 7.546
_cell_length_c 7.546
_cell_angle_alpha 90.00
_cell_angle_beta 90.00
_cell_angle_gamma 90.00
_symmetry_space_group_name_H-M 'F -4 3 m'
_symmetry_Int_Tables_number 216
_symmetry_space_group_name_Hall 'F -4 2 3'
loop_
_atom_site_label
_atom_site_type_symbol
_atom_site_fract_x
_atom_site_fract_y
_atom_site_fract_z
Ba1 Ba 0.000 0.000 0.000
Ni1 Ni 0.250 0.250 0.750
Cl1 Cl 0.250 0.250 0.250


Record 7
# Ba2NiCl (GGA-PBE, optimized geometry)
# E_form (uncorrected), eV/atom: -0.64
# Polymorph energy (0 for the lowest one), eV per atom: 0.2233
data_Ba2NiCl
_chemical_formula_sum 'Ba8 Ni4 Cl4'
_cell_length_a 7.840
_cell_length_b 7.840
_cell_length_c 7.840
_cell_angle_alpha 90.00
_cell_angle_beta 90.00
_cell_angle_gamma 90.00
_symmetry_space_group_name_H-M 'F m -3 m'
_symmetry_Int_Tables_number 225
_symmetry_space_group_name_Hall '-F 4 2 3'
loop_
_atom_site_label
_atom_site_type_symbol
_atom_site_fract_x
_atom_site_fract_y
_atom_site_fract_z
Ba1 Ba 0.250 0.250 0.250
Ni1 Ni 0.000 0.000 0.000
Cl1 Cl 0.000 0.000 0.500


Record 8
# Ba2NiCl (GGA-PBE, optimized geometry)
# E_form (uncorrected), eV/atom: -0.64
# Polymorph energy (0 for the lowest one), eV per atom: 0.2168
data_Ba2NiCl
_chemical_formula_sum 'Ba4 Ni2 Cl2'
_cell_length_a 5.059
_cell_length_b 6.180
_cell_length_c 7.819
_cell_angle_alpha 90.00
_cell_angle_beta 90.00
_cell_angle_gamma 90.00
_symmetry_space_group_name_H-M 'I m m m'
_symmetry_Int_Tables_number 71
_symmetry_space_group_name_Hall '-I 2 2'
loop_
_atom_site_label
_atom_site_type_symbol
_atom_site_fract_x
_atom_site_fract_y
_atom_site_fract_z
Ba1 Ba 0.000 0.000 0.243
Ni1 Ni 0.000 0.500 0.500
Cl1 Cl 0.000 0.500 0.000